(1)
Crystalline Pm5Np2S12 at its relaxed geometry. Source: the Alexandria database, functional PBE-GGA.

The structure in POSCAR format:
```
Pm5Np2S12
1.0
7.730 -3.728 0.000
7.730 3.728 0.000
-2.720 0.000 8.626
Pm Np S
5 2 12
direct
0.000 0.000 0.000 Pm
0.295 0.295 0.136 Pm
0.312 0.312 0.677 Pm
0.688 0.688 0.323 Pm
0.705 0.705 0.864 Pm
0.253 0.747 0.500 Np
0.747 0.253 0.500 Np
0.004 0.004 0.307 S
0.095 0.556 0.410 S
0.103 0.599 0.933 S
0.401 0.897 0.067 S
0.444 0.905 0.590 S
0.498 0.498 0.285 S
0.502 0.502 0.715 S
0.556 0.095 0.410 S
0.599 0.103 0.933 S
0.897 0.401 0.067 S
0.905 0.444 0.590 S
0.996 0.996 0.693 S
```

Summary:
**Formation energy without anion corrections**: -167 kJ per mole of atoms
**SG**: C2/m (12)

(2)
Crystalline PmNp4S5 at its relaxed geometry. Source: the Alexandria database, functional PBE-GGA.

The structure in POSCAR format:
```
PmNp4S5
1.0
-1.968 1.968 13.901
1.968 -1.968 13.901
1.968 1.968 -13.901
Pm Np S
1 4 5
direct
0.000 0.000 0.000 Pm
0.201 0.201 0.000 Np
0.399 0.399 0.000 Np
0.601 0.601 0.000 Np
0.799 0.799 0.000 Np
0.102 0.102 0.000 S
0.300 0.300 0.000 S
0.500 0.500 0.000 S
0.700 0.700 0.000 S
0.898 0.898 0.000 S
```

Summary:
**Formation energy without anion corrections**: -144 kJ per mole of atoms
**SG**: I4/mmm (139)

(3)
Crystalline PmNpSeS2 at its relaxed geometry. Source: the Alexandria database, functional PBE-GGA.

The structure in POSCAR format:
```
PmNpSeS2
1.0
-2.182 2.182 6.730
2.182 -2.182 6.730
2.182 2.182 -6.730
Pm Np Se S
1 1 1 2
direct
0.000 0.000 0.000 Pm
0.263 0.263 0.000 Np
0.631 0.631 0.000 Se
0.377 0.877 0.500 S
0.877 0.377 0.500 S
```

Summary:
**Formation energy without anion corrections**: -120 kJ per mole of atoms
**SG**: I4mm (107)

(4)
Crystalline PmSmNp2S4 at its relaxed geometry. Source: the Alexandria database, functional PBE-GGA.

The structure in POSCAR format:
```
PmSmNp2S4
1.0
6.853 0.000 0.000
0.000 3.964 0.000
-2.291 0.000 6.488
Pm Sm Np S
1 1 2 4
direct
0.000 0.000 0.000 Pm
0.000 0.500 0.500 Sm
0.500 0.000 0.500 Np
0.500 0.500 0.000 Np
0.260 0.000 0.752 S
0.261 0.500 0.255 S
0.739 0.500 0.745 S
0.740 0.000 0.248 S
```

Summary:
**Formation energy without anion corrections**: -165 kJ per mole of atoms
**SG**: P2/m (10)

(5)
Crystalline Sr2PmNpS6 at its relaxed geometry. Source: the Alexandria database, functional PBE-GGA.

The structure in POSCAR format:
```
Sr2PmNpS6
1.0
6.993 0.000 0.000
0.000 7.490 0.000
-6.955 0.000 10.197
Sr Pm Np S
4 2 2 12
direct
0.223 0.080 0.250 Sr
0.223 0.420 0.750 Sr
0.777 0.580 0.250 Sr
0.777 0.920 0.750 Sr
0.500 0.000 0.000 Pm
0.500 0.500 0.500 Pm
0.000 0.000 0.500 Np
0.000 0.500 0.000 Np
0.116 0.204 0.935 S
0.116 0.296 0.435 S
0.239 0.687 0.939 S
0.239 0.813 0.439 S
0.359 0.040 0.740 S
0.359 0.460 0.240 S
0.641 0.540 0.760 S
0.641 0.960 0.260 S
0.761 0.187 0.561 S
0.761 0.313 0.061 S
0.884 0.704 0.565 S
0.884 0.796 0.065 S
```

Summary:
**Formation energy without anion corrections**: -168 kJ per mole of atoms
**SG**: P2_1/c (14)

(6)
Crystalline TbPm2NpS4 at its relaxed geometry. Source: the Alexandria database, functional PBE-GGA.

The structure in POSCAR format:
```
TbPm2NpS4
1.0
6.880 0.000 0.000
0.000 3.967 0.000
-2.283 0.000 6.519
Tb Pm Np S
1 2 1 4
direct
0.000 0.000 0.000 Tb
0.000 0.500 0.500 Pm
0.500 0.000 0.500 Pm
0.500 0.500 0.000 Np
0.247 0.500 0.241 S
0.254 0.000 0.760 S
0.746 0.000 0.240 S
0.753 0.500 0.759 S
```

Summary:
**Formation energy without anion corrections**: -180 kJ per mole of atoms
**SG**: P2/m (10)

| no. | spin magnetization (μB per formula unit) |
| --- | --- |
| 1 | 5.000 |
| 2 | 16.929 |
| 3 | 4.000 |
| 4 | 8.597 |
| 5 | 2.000 |
| 6 | 4.431 |